# 1
VASP calculation (PBE) on crystalline Pr2DyThBi5 at its relaxed geometry.

Output
N(E_F) in states/eV/cell: 7.09
Calculated total energy in eV/atom: -4.528
Energy relative to the elements in meV/atom: 26

Lattice parameters (Å, degrees): 5.7571 5.7571 11.9188 90.00 90.00 90.00
Fractional coordinates of all 9 atoms:
Bi (0.0000, 0.0000, 0.2425)
Bi (0.0000, 0.0000, 0.7575)
Pr (0.5000, 0.5000, 0.2819)
Bi (0.5000, 0.0000, 0.5000)
Pr (0.5000, 0.5000, 0.7181)
Bi (0.0000, 0.5000, 0.5000)
Bi (0.5000, 0.5000, 0.0000)
Dy (0.0000, 0.0000, 0.0000)
Th (0.0000, 0.0000, 0.5000)

# 2
VASP calculation (PBE) on crystalline Pr2DyTmBi5 at its relaxed geometry.

Output
N(E_F) in states/eV/cell: 6.12
Calculated total energy in eV/atom: -4.397
Energy relative to the elements in meV/atom: -171

Lattice parameters (Å, degrees): 5.3904 5.3904 11.9504 90.00 90.00 90.00
Fractional coordinates of all 9 atoms:
Bi (0.5000, 0.0000, 0.5000)
Dy (0.0000, 0.0000, 0.0000)
Pr (0.5000, 0.5000, 0.2747)
Tm (0.0000, 0.0000, 0.5000)
Pr (0.5000, 0.5000, 0.7253)
Bi (0.0000, 0.0000, 0.7533)
Bi (0.0000, 0.5000, 0.5000)
Bi (0.5000, 0.5000, 0.0000)
Bi (0.0000, 0.0000, 0.2467)

# 3
VASP calculation (PBE) on crystalline Pr2DyTm3Bi6 at its relaxed geometry.

Output
N(E_F) in states/eV/cell: 2.01
Calculated total energy in eV/atom: -5.086
Energy relative to the elements in meV/atom: -848

Lattice parameters (Å, degrees): 4.5147 9.0170 10.0798 102.79 102.94 90.00
Fractional coordinates of all 12 atoms:
Bi (0.0042, 0.7501, 0.0084)
Bi (0.9958, 0.2499, 0.9916)
Bi (0.6638, 0.5909, 0.3275)
Pr (0.8344, 0.6679, 0.6687)
Bi (0.6666, 0.0732, 0.3332)
Tm (0.5000, 0.5000, 0.0000)
Tm (0.1683, 0.8338, 0.3367)
Bi (0.3334, 0.9268, 0.6668)
Pr (0.1656, 0.3321, 0.3313)
Bi (0.3362, 0.4091, 0.6725)
Tm (0.8317, 0.1662, 0.6633)
Dy (0.5000, 0.0000, 0.0000)

Number 3 is which compound? Pr2DyTm3Bi6

Among the records above, which one has the lowest calculated total energy? Pr2DyTm3Bi6

Look up the N(E_F) of the third one. 2.01 states/eV/cell

The highest N(E_F) belongs to which entry? Pr2DyThBi5